The following is a PBE calculation of crystalline CoCuHgOsRu at its relaxed geometry, from Alexandria.

Computed properties:
theoretical density	12.797	g/cm3
N(E_F)	4.78	states/eV/f.u.
total DFT energy (no corrections)	-29.8	eV per formula unit
volume	15.94	A^3/atom
E_form	213	kJ/mol of formula units

Structure (CIF):
```
data_CoCuHgOsRu
_chemical_formula_sum 'Co1 Cu1 Hg1 Os1 Ru1'
_cell_length_a 4.0074
_cell_length_b 2.7309
_cell_length_c 7.2844
_cell_angle_alpha 90.00
_cell_angle_beta 90.00
_cell_angle_gamma 90.00
_space_group_name_H-M_alt 'P 1'
_space_group_IT_number 1
_space_group_name_Hall 'P 1'
loop_
_atom_site_label
_atom_site_type_symbol
_atom_site_fract_x
_atom_site_fract_y
_atom_site_fract_z
Hg1 Hg 0.0000 0.5000 0.6674
Co1 Co 0.0000 0.0000 0.3477
Os1 Os 0.0000 0.5000 0.0715
Cu1 Cu 0.5000 0.5000 0.3125
Ru1 Ru 0.5000 0.0000 0.9414
```